# Mn2CdSe

Mn2CdSe after structural relaxation (PBE, Alexandria via LeMat-Bulk).

Cell and atoms, written as extended XYZ:
```
16
Lattice="6.1278 0.0000 0.0000 0.0000 6.1278 0.0000 0.0000 0.0000 6.1278" Properties=species:S:1:pos:R:3 pbc="T T T"
Mn 1.5319 1.5319 1.5319
Mn 1.5319 1.5319 4.5958
Mn 1.5319 4.5958 1.5319
Mn 1.5319 4.5958 4.5958
Mn 4.5958 1.5319 1.5319
Mn 4.5958 1.5319 4.5958
Mn 4.5958 4.5958 1.5319
Mn 4.5958 4.5958 4.5958
Cd 0.0000 0.0000 0.0000
Cd 0.0000 3.0639 3.0639
Cd 3.0639 0.0000 3.0639
Cd 3.0639 3.0639 0.0000
Se 0.0000 0.0000 3.0639
Se 0.0000 3.0639 0.0000
Se 3.0639 0.0000 0.0000
Se 3.0639 3.0639 3.0639
```

Output
Calculated density ... 8.7 Mg/m³
E_form (uncorrected) ... 0.746 eV/atom
Total magnetic moment ... 0.000 Bohr magnetons per cell
DOS at the Fermi energy ... 7.79 states/eV/f.u.

# MnCdSe2

MnCdSe2 after structural relaxation (PBE, Alexandria via LeMat-Bulk).

Cell and atoms, written as extended XYZ:
```
4
Lattice="4.0936 0.0000 0.0000 0.0000 3.5781 0.0000 -0.8534 0.0000 6.4719" Properties=species:S:1:pos:R:3 pbc="T T T"
Mn 0.0000 0.0000 0.0000
Cd -0.4267 0.0000 3.2359
Se 0.9672 1.7890 1.5250
Se 2.2729 1.7890 4.9469
```

Output
Calculated density ... 5.7 Mg/m³
E_form (uncorrected) ... -0.197 eV/atom
Total magnetic moment ... 4.236 Bohr magnetons per cell
DOS at the Fermi energy ... 2.04 states/eV/f.u.

# Mn2CdSe

Mn2CdSe after structural relaxation (PBE, Alexandria via LeMat-Bulk).

Cell and atoms, written as extended XYZ:
```
12
Lattice="3.1009 0.0000 0.0000 -1.5504 2.6854 0.0000 0.0000 0.0000 26.5995" Properties=species:S:1:pos:R:3 pbc="T T T"
Mn 0.0000 0.0000 0.0000
Mn 0.0000 0.0000 6.9174
Mn 0.0000 1.7903 17.7330
Mn 0.0000 1.7903 24.6504
Mn 1.5504 0.8951 8.8665
Mn 1.5504 0.8951 15.7839
Cd 0.0000 0.0000 13.4060
Cd 0.0000 1.7903 4.5395
Cd 1.5504 0.8951 22.2725
Se 0.0000 0.0000 19.2583
Se 0.0000 1.7903 10.3918
Se 1.5504 0.8951 1.5252
```

Output
Calculated density ... 6.8 Mg/m³
E_form (uncorrected) ... 0.143 eV/atom
Total magnetic moment ... 17.859 Bohr magnetons per cell
DOS at the Fermi energy ... 1.17 states/eV/f.u.

# MnCdSe2

MnCdSe2 after structural relaxation (PBE, Alexandria via LeMat-Bulk).

Cell and atoms, written as extended XYZ:
```
4
Lattice="3.7002 0.0000 0.0000 0.0000 3.8196 0.0000 0.0000 0.0000 7.4702" Properties=species:S:1:pos:R:3 pbc="T T T"
Mn 0.0000 0.0000 0.0000
Cd 0.0000 1.9098 3.7351
Se 1.8501 0.0000 3.7351
Se 1.8501 1.9098 0.0000
```

Output
Calculated density ... 5.1 Mg/m³
E_form (uncorrected) ... -0.118 eV/atom
Total magnetic moment ... 4.824 Bohr magnetons per cell
DOS at the Fermi energy ... 0.77 states/eV/f.u.

# Mn2CdSe

Mn2CdSe after structural relaxation (PBE, Alexandria via LeMat-Bulk).

Cell and atoms, written as extended XYZ:
```
8
Lattice="5.8650 0.0000 0.0000 0.0000 7.1805 0.0000 -0.0083 0.0000 3.3740" Properties=species:S:1:pos:R:3 pbc="T T T"
Mn 1.4662 1.7951 0.0000
Mn 1.4662 5.3854 0.0000
Mn 4.3987 1.7951 0.0000
Mn 4.3987 5.3854 0.0000
Cd -0.0041 0.0000 1.6870
Cd 2.9283 3.5902 1.6870
Se -0.0041 3.5902 1.6870
Se 2.9283 0.0000 1.6870
```

Output
Calculated density ... 7.0 Mg/m³
E_form (uncorrected) ... 0.258 eV/atom
Total magnetic moment ... 15.339 Bohr magnetons per cell
DOS at the Fermi energy ... 2.85 states/eV/f.u.

# Mn2CdSe

Mn2CdSe after structural relaxation (PBE, Alexandria via LeMat-Bulk).

Cell and atoms, written as extended XYZ:
```
16
Lattice="7.2584 0.0000 0.0000 0.0000 7.2584 0.0000 0.0000 0.0000 5.9438" Properties=species:S:1:pos:R:3 pbc="T T T"
Mn 1.5952 1.8146 0.7430
Mn 1.8146 5.2245 2.2289
Mn 1.8146 5.6632 5.2008
Mn 2.0340 1.8146 3.7149
Mn 5.2245 5.4438 3.7149
Mn 5.4438 1.5952 5.2008
Mn 5.4438 2.0340 2.2289
Mn 5.6632 5.4438 0.7430
Cd 0.0000 0.0000 2.9719
Cd 0.0000 3.6292 4.4578
Cd 3.6292 0.0000 1.4859
Cd 3.6292 3.6292 0.0000
Se 0.0000 0.0000 0.0000
Se 0.0000 3.6292 1.4859
Se 3.6292 0.0000 4.4578
Se 3.6292 3.6292 2.9719
```

Output
Calculated density ... 6.4 Mg/m³
E_form (uncorrected) ... 0.317 eV/atom
Total magnetic moment ... 31.604 Bohr magnetons per cell
DOS at the Fermi energy ... 3.99 states/eV/f.u.

# MnCdSe4

MnCdSe4 after structural relaxation (PBE, Alexandria via LeMat-Bulk).

Cell and atoms, written as extended XYZ:
```
12
Lattice="6.4430 0.0000 0.0000 0.0000 6.4383 0.0000 -0.2706 0.0000 6.4231" Properties=species:S:1:pos:R:3 pbc="T T T"
Mn 0.0000 0.0000 0.0000
Mn -0.1353 3.2192 3.2116
Cd 3.0862 0.0000 3.2116
Cd 3.2215 3.2192 0.0000
Se 0.4154 0.8925 2.3135
Se 0.2801 2.3266 5.5251
Se 2.2659 3.8174 2.5562
Se 2.1307 5.8401 5.7677
Se 4.0418 0.5982 0.6554
Se 3.9065 2.6210 3.8669
Se 5.8923 4.1117 0.8980
Se 5.7570 5.5458 4.1096
```

Output
Calculated density ... 6.0 Mg/m³
E_form (uncorrected) ... -0.316 eV/atom
Total magnetic moment ... 6.296 Bohr magnetons per cell
DOS at the Fermi energy ... 1.41 states/eV/f.u.

# MnCdSe2

MnCdSe2 after structural relaxation (PBE, Alexandria via LeMat-Bulk).

Cell and atoms, written as extended XYZ:
```
4
Lattice="3.7943 0.0000 0.0000 0.0000 3.7943 0.0000 0.0000 0.0000 6.5526" Properties=species:S:1:pos:R:3 pbc="T T T"
Mn 0.0000 0.0000 0.0000
Cd 1.8971 1.8971 3.2431
Se 0.0000 0.0000 4.0150
Se 1.8971 1.8971 0.5284
```

Output
Calculated density ... 5.7 Mg/m³
E_form (uncorrected) ... -0.400 eV/atom
Total magnetic moment ... 4.917 Bohr magnetons per cell
DOS at the Fermi energy ... 0.45 states/eV/f.u.